1.
VASP calculation (PBE-GGA) on a relaxed structure of Pr6Sm2Cd.

Computed properties:
Magnetization   0.000 μB per formula unit
ΔE_f   0.1 eV per formula unit
Crystal system   triclinic

a = 6.0299 Å, b = 6.5865 Å, c = 15.7434 Å
α = 95.48°, β = 97.27°, γ = 90.90°
Last column: nearest neighbours and their distance in Å.
Positions (direct):
Pr 0.2543 0.3552 0.5142  2 Sm 3.58-3.77, 9 Pr 3.58-3.87
Pr 0.6001 0.7494 0.9946  6 Pr 3.28-3.63, 2 Cd 3.33-3.57
Pr 0.7457 0.6448 0.4858  2 Sm 3.58-3.77, 9 Pr 3.58-3.87
Pr 0.3999 0.2506 0.0054  6 Pr 3.28-3.63, 2 Cd 3.33-3.57
Pr 0.0603 0.6309 0.9127  1 Cd 3.27, 7 Pr 3.28-3.64, 2 Sm 3.36-3.48
Pr 0.2837 0.8769 0.6050  1 Cd 3.22, 2 Pr 3.58-3.59
Pr 0.9397 0.3691 0.0873  1 Cd 3.27, 7 Pr 3.28-3.64, 2 Sm 3.36-3.48
Pr 0.7163 0.1231 0.3950  1 Cd 3.22, 2 Pr 3.58-3.59
Pr 0.1227 0.8641 0.1337  2 Cd 3.35-3.48, 4 Pr 3.41-3.64, 1 Sm 3.45
Pr 0.2045 0.8012 0.3699  4 Sm 3.53-3.80, 7 Pr 3.66-3.87
Pr 0.8773 0.1359 0.8663  2 Cd 3.35-3.48, 4 Pr 3.41-3.64, 1 Sm 3.45
Pr 0.7955 0.1988 0.6301  4 Sm 3.53-3.80, 7 Pr 3.66-3.87
Sm 0.1859 0.2850 0.2843  7 Pr 3.36-3.70, 2 Cd 3.47-3.66, 1 Sm 3.65
Sm 0.6486 0.6107 0.2437  2 Cd 3.31-3.50, 2 Pr 3.48-3.70, 1 Sm 3.65
Sm 0.8141 0.7150 0.7157  7 Pr 3.36-3.70, 2 Cd 3.47-3.66, 1 Sm 3.65
Sm 0.3514 0.3893 0.7563  2 Cd 3.31-3.50, 2 Pr 3.48-3.70, 1 Sm 3.65
Cd 0.6315 0.0834 0.1881  6 Pr 3.22-3.57, 3 Sm 3.31-3.50
Cd 0.3685 0.9166 0.8119  6 Pr 3.22-3.57, 3 Sm 3.31-3.50


2.
VASP calculation (PBE-GGA) on a relaxed structure of Co2NiPbS.

Computed properties:
Magnetization   2.000 μB per formula unit
Energy relative to the lowest polymorph listed for this composition   0.00 eV/f.u.
Crystal system   tetragonal
Formation energy (no corrections)   0.17 eV/atom

a = 4.2491 Å, b = 4.2905 Å, c = 4.2491 Å
α = 90.00°, β = 90.00°, γ = 90.00°
Last column: nearest neighbours and their distance in Å.
Positions (direct):
Pb 0.5000 0.5000 0.5000  4 Ni 3.00, 8 Co 3.02
Ni 0.0000 0.5000 0.0000  2 S 2.15
S 0.0000 0.0000 0.0000  4 Co 2.12, 2 Ni 2.15
Co 0.0000 0.0000 0.5000  2 S 2.12
Co 0.5000 0.0000 0.0000  2 S 2.12


3.
VASP calculation (PBE-GGA) on a relaxed structure of TiNb.

Computed properties:
Magnetization   2.419 μB per formula unit
ΔE_f   4.8 eV per formula unit
Crystal system   cubic

a = 5.8971 Å, b = 5.8971 Å, c = 5.8971 Å
α = 90.00°, β = 90.00°, γ = 90.00°
Last column: nearest neighbours and their distance in Å.
Positions (direct):
Ti 0.2500 0.2500 0.2500  4 Nb 2.55
Ti 0.2500 0.7500 0.7500  4 Nb 2.55
Ti 0.7500 0.2500 0.7500  4 Nb 2.55
Ti 0.7500 0.7500 0.2500  4 Nb 2.55
Nb 0.0000 0.0000 0.0000  4 Ti 2.55
Nb 0.0000 0.5000 0.5000  4 Ti 2.55
Nb 0.5000 0.0000 0.5000  4 Ti 2.55
Nb 0.5000 0.5000 0.0000  4 Ti 2.55


4.
VASP calculation (PBE-GGA) on a relaxed structure of Li2TlGeCl6.

Computed properties:
Magnetization   1.019 μB per formula unit
Crystal system   monoclinic
Formation energy (no corrections)   -1.16 eV/atom

a = 8.0365 Å, b = 9.3980 Å, c = 9.3980 Å
α = 79.60°, β = 70.93°, γ = 70.93°
Last column: nearest neighbours and their distance in Å.
Positions (direct):
Li 0.3404 0.6400 0.5215  4 Cl 2.39-2.48
Li 0.1596 0.4785 0.3600  4 Cl 2.39-2.48
Li 0.6596 0.3600 0.4785  4 Cl 2.39-2.48
Li 0.8404 0.5215 0.6400  4 Cl 2.39-2.48
Tl 0.2500 0.8313 0.1687  6 Cl 3.18-3.47
Tl 0.7500 0.1687 0.8313  6 Cl 3.18-3.47
Ge 0.2500 0.2131 0.7869  4 Cl 2.25-2.42
Ge 0.7500 0.7869 0.2131  4 Cl 2.25-2.42
Cl 0.1819 0.9945 0.8073  1 Ge 2.25
Cl 0.3181 0.1927 0.0055  1 Ge 2.25
Cl 0.8181 0.0055 0.1927  1 Ge 2.25
Cl 0.6819 0.8073 0.9945  1 Ge 2.25
Cl 0.4521 0.8616 0.3971  1 Ge 2.42, 1 Li 2.48
Cl 0.0479 0.6029 0.1384  1 Ge 2.42, 1 Li 2.48
Cl 0.5479 0.1384 0.6029  1 Ge 2.42, 1 Li 2.48
Cl 0.9521 0.3971 0.8616  1 Ge 2.42, 1 Li 2.48
Cl 0.0283 0.6856 0.5198  3 Li 2.39-2.42
Cl 0.4717 0.4802 0.3144  3 Li 2.39-2.42
Cl 0.9717 0.3144 0.4802  3 Li 2.39-2.42
Cl 0.5283 0.5198 0.6856  3 Li 2.39-2.42


5.
VASP calculation (PBE-GGA) on a relaxed structure of FeTcCl2.

Computed properties:
Magnetization   3.222 μB per formula unit
Energy relative to the lowest polymorph listed for this composition   2.45 eV/f.u.
Crystal system   orthorhombic
Formation energy (no corrections)   0.53 eV/atom

a = 3.1233 Å, b = 3.1233 Å, c = 8.0249 Å
α = 90.00°, β = 90.00°, γ = 124.60°
Last column: nearest neighbours and their distance in Å.
Positions (direct):
Cl 0.0000 0.0000 0.9976  2 Tc 2.46, 2 Fe 2.49
Cl 0.0000 0.0000 0.5024  2 Tc 2.46, 2 Fe 2.49
Tc 0.5000 0.5000 0.7500  4 Cl 2.46
Fe 0.5000 0.5000 0.2500  4 Cl 2.49


6.
VASP calculation (PBE-GGA) on a relaxed structure of Hf2AlNi9.

Computed properties:
Magnetization   0.003 μB per formula unit
ΔE_f   -6.0 eV per formula unit
Crystal system   tetragonal

a = 3.6877 Å, b = 3.6877 Å, c = 10.9310 Å
α = 90.00°, β = 90.00°, γ = 90.00°
Last column: nearest neighbours and their distance in Å.
Positions (direct):
Hf 0.0000 0.0000 0.3264  12 Ni 2.61-2.65
Hf 0.0000 0.0000 0.6736  12 Ni 2.61-2.65
Al 0.0000 0.0000 0.0000  12 Ni 2.51-2.61
Ni 0.5000 0.5000 0.0000  8 Ni 2.51, 4 Al 2.61
Ni 0.5000 0.5000 0.3284  4 Hf 2.61, 8 Ni 2.63-2.64
Ni 0.5000 0.5000 0.6716  4 Hf 2.61, 8 Ni 2.63-2.64
Ni 0.5000 0.0000 0.1558  8 Ni 2.51-2.64, 2 Al 2.51, 2 Hf 2.62
Ni 0.5000 0.0000 0.5000  8 Ni 2.61-2.63, 4 Hf 2.65
Ni 0.5000 0.0000 0.8442  8 Ni 2.51-2.64, 2 Al 2.51, 2 Hf 2.62
Ni 0.0000 0.5000 0.1558  8 Ni 2.51-2.64, 2 Al 2.51, 2 Hf 2.62
Ni 0.0000 0.5000 0.5000  8 Ni 2.61-2.63, 4 Hf 2.65
Ni 0.0000 0.5000 0.8442  8 Ni 2.51-2.64, 2 Al 2.51, 2 Hf 2.62


7.
VASP calculation (PBE-GGA) on a relaxed structure of YTaP2.

Computed properties:
Magnetization   0.000 μB per formula unit
Energy relative to the lowest polymorph listed for this composition   2.93 eV/f.u.
ΔE_f   -1.4 eV per formula unit
Crystal system   tetragonal

a = 6.0962 Å, b = 6.0962 Å, c = 6.0962 Å
α = 144.40°, β = 144.40°, γ = 51.23°
Last column: nearest neighbours and their distance in Å.
Positions (direct):
P 0.0000 0.0000 0.0000  4 Ta 2.64
P 0.2500 0.7500 0.5000  4 Y 2.64
Ta 0.5000 0.5000 0.0000  4 P 2.64
Y 0.7500 0.2500 0.5000  4 P 2.64


8.
VASP calculation (PBE-GGA) on a relaxed structure of Pm3Zn4Pt4.

Computed properties:
Magnetization   0.000 μB per formula unit
Energy relative to the lowest polymorph listed for this composition   0.56 eV/f.u.
ΔE_f   -9.0 eV per formula unit
Crystal system   triclinic

a = 3.8452 Å, b = 4.3178 Å, c = 13.8986 Å
α = 80.98°, β = 82.02°, γ = 90.05°
Last column: nearest neighbours and their distance in Å.
Positions (direct):
Pm 0.1455 0.6501 0.7092  6 Pt 3.13-3.23, 6 Zn 3.17-3.35
Pm 0.8545 0.3499 0.2908  6 Pt 3.13-3.23, 6 Zn 3.17-3.35
Pm 0.0000 0.0000 0.0000  8 Pt 3.18-3.21, 4 Zn 3.26
Zn 0.5969 0.1007 0.8061  3 Pt 2.51-2.53
Zn 0.2529 0.2507 0.4928  4 Pt 2.58-2.65, 2 Zn 2.87-2.88
Zn 0.7471 0.7493 0.5072  4 Pt 2.58-2.65, 2 Zn 2.87-2.88
Zn 0.4031 0.8993 0.1940  3 Pt 2.51-2.53
Pt 0.5520 0.5534 0.8998  2 Zn 2.51, 1 Pt 2.72
Pt 0.4481 0.4467 0.1003  2 Zn 2.51, 1 Pt 2.72
Pt 0.3111 0.8056 0.3804  5 Zn 2.53-2.65
Pt 0.6890 0.1944 0.6196  5 Zn 2.53-2.65